This record from the Alexandria database describes Ti6Ga12Au after structural relaxation. The functional is PBE.

For the calculated formation energy, the calculation gives -0.288 eV per atom. As for the crystal system: trigonal.

The structure belongs to space group R-3 (No. 148, hexagonal axes); the cell edges are 10.2164, 10.2164 and 10.5565 Å and the angles 90.00°, 90.00° and 120.00°. The inequivalent atoms are Ti at (0.0081, 0.4321, 0.2348), Ga at (0.0561, 0.2054, 0.3307), Ga at (0.0596, 0.8706, 0.8825) and Au at (0.0000, 0.0000, 0.5000).